Entry from Alexandria: a geometry-optimized Zr3Mn5H12 structure (PBE).

Structure (extended XYZ):
```
80
Lattice="-1.191 -9.305 1.228 2.866 3.912 8.123 -8.196 3.904 -2.662" Properties=species:S:1:pos:R:3 pbc="T T T"
Mn -1.073 3.235 5.248
Mn -5.767 0.535 4.531
Mn -4.694 -2.700 -0.717
Mn -4.346 1.581 1.690
Mn -2.665 3.908 2.731
Mn 0.837 -2.696 4.676
Mn -5.398 -2.768 4.156
Mn -5.448 -4.723 1.442
Mn 1.185 1.585 7.082
Mn -2.176 -3.069 5.000
Mn 1.433 1.956 4.062
Mn -3.261 -0.744 3.345
Mn -1.123 1.280 2.534
Mn -4.098 1.952 -1.331
Mn -0.755 -2.023 2.159
Mn -7.707 -3.073 -0.392
Mn -0.595 -4.652 0.614
Mn 0.000 0.000 0.000
Mn -0.286 -1.416 7.210
Mn -6.236 -0.072 -0.520
H -7.515 -2.531 1.265
H -0.822 -6.038 5.477
H 0.676 -1.385 5.743
H -2.742 -4.136 3.727
H 0.994 1.042 5.425
H -5.723 4.424 4.955
H -4.981 -3.120 0.904
H -2.396 -1.413 2.045
H -2.283 0.607 3.666
H -2.504 -6.304 3.476
H -1.045 -3.744 1.978
H -0.798 -5.912 1.735
H -7.849 2.554 -1.691
H 0.380 0.844 3.326
H -4.239 -2.095 3.024
H -0.811 -3.020 7.692
H -0.514 -3.610 5.150
H -5.477 2.256 4.712
H -0.584 4.314 6.542
H -4.239 3.346 6.161
H -6.596 0.097 3.048
H -5.711 1.531 -1.002
H 1.552 3.293 7.242
H -5.699 4.550 1.213
H -4.018 4.816 3.214
H -3.378 0.939 6.768
H -3.985 -5.216 2.275
H -6.008 2.122 1.540
H -3.420 1.681 0.203
H -1.541 1.632 5.786
H -1.278 0.669 0.897
H -3.780 2.648 2.963
H -6.902 -2.332 3.364
H 1.328 -4.042 8.381
H -4.929 -1.150 -0.063
H -3.143 -2.428 -0.078
H -4.175 -0.127 2.053
H -8.073 -4.782 -0.552
H -1.593 -0.338 6.753
H -3.102 -3.169 6.487
H 0.075 -1.585 3.642
H -2.282 -4.834 0.529
H -5.937 -5.803 0.148
H -2.537 3.727 4.415
H -4.126 -0.075 4.645
H -2.347 -1.361 4.637
H -7.198 -0.103 0.947
H -5.244 -2.157 5.793
Zr -3.508 -1.115 6.366
Zr -3.013 -0.373 0.324
Zr -5.678 3.535 3.055
Zr -5.817 -1.420 1.818
Zr -6.604 3.231 -0.145
Zr -0.843 -5.023 3.635
Zr -3.789 5.188 5.265
Zr -3.420 1.885 4.890
Zr 0.083 -4.719 6.835
Zr -0.705 -0.068 4.872
Zr -2.733 -6.676 1.425
Zr -3.102 -3.373 1.800
```

**E**: -5.7712 eV/atom
**ρ**: 5.7 g cm⁻³
**N(E_F)**: 15.77 states/eV/cell

=====

Entry from Alexandria: a geometry-optimized ZrMn3H structure (PBE).

Structure (extended XYZ):
```
5
Lattice="3.962 0.000 0.000 0.000 3.962 0.000 0.000 0.000 3.962" Properties=species:S:1:pos:R:3 pbc="T T T"
Mn 0.000 0.000 1.981
Mn 0.000 1.981 0.000
Mn 1.981 0.000 0.000
H 0.000 0.000 0.000
Zr 1.981 1.981 1.981
```

**Energy above the lowest structure with this stoichiometry**: 0.0000 eV per atom
**ρ**: 6.9 g cm⁻³
**N(E_F)**: 4.90 states/eV/cell

=====

- Which value of N(E_F) does entry 2 give?
  4.90 states/eV/cell

=====

- What is the formula in the first record?
  Zr3Mn5H12

=====

- ρ of number 2 (ZrMn3H)?
  6.9 g cm⁻³

=====

- Which value of ρ does entry 1 give?
  5.7 g cm⁻³